[1]
This record from Alexandria via LeMat-Bulk describes crystalline Pr6Sm3Er2Tl at its relaxed geometry. The functional is PBE.

a = 6.285 Å, b = 10.932 Å, c = 11.904 Å
α = 90.00°, β = 100.42°, γ = 90.00°
Space group C2/m (No. 12)
Symmetry-distinct sites (fractional):
Pr 0.244 0.164 0.244 x8
Pr 0.247 0.000 0.754 x4
Sm 0.000 0.169 0.500 x4
Sm 0.000 0.500 0.500 x2
Er 0.000 0.334 0.000 x4
Tl 0.000 0.000 0.000 x2

**Magnetic moment**: 0.00 μB/cell
**Energy relative to the elements**: -0.003 eV per atom

[2]
This record from Alexandria via LeMat-Bulk describes crystalline LaTb2Pm3Pr6 at its relaxed geometry. The functional is PBE.

a = 6.379 Å, b = 11.052 Å, c = 12.174 Å
α = 90.00°, β = 100.12°, γ = 90.00°
Space group C2/m (No. 12)
Symmetry-distinct sites (fractional):
La 0.000 0.000 0.000 x2
Tb 0.000 0.334 0.000 x4
Pm 0.000 0.167 0.500 x4
Pm 0.000 0.500 0.500 x2
Pr 0.249 0.333 0.750 x8
Pr 0.250 0.000 0.750 x4

**Magnetic moment**: 0.00 μB/cell
**Energy relative to the elements**: 0.015 eV per atom

[3]
This record from Alexandria via LeMat-Bulk describes crystalline FeTcRh4 at its relaxed geometry. The functional is PBE.

a = 2.714 Å, b = 2.714 Å, c = 11.274 Å
α = 90.00°, β = 90.00°, γ = 90.00°
Space group P4/mmm (No. 123)
Symmetry-distinct sites (fractional):
Fe 0.000 0.000 0.000 x1
Tc 0.500 0.500 0.500 x1
Rh 0.000 0.000 0.333 x2
Rh 0.500 0.500 0.155 x2

**Energy above the lowest structure with this stoichiometry**: 0.00 eV/f.u.
**Magnetic moment**: 2.53 μB/cell
**Energy relative to the elements**: -0.060 eV per atom

[4]
This record from Alexandria via LeMat-Bulk describes crystalline PrFe2 at its relaxed geometry. The functional is PBE.

a = 7.471 Å, b = 7.471 Å, c = 7.471 Å
α = 90.00°, β = 90.00°, γ = 90.00°
Space group Fd-3m (No. 227, origin choice 2)
Symmetry-distinct sites (fractional):
Pr 0.125 0.125 0.125 x8
Fe 0.000 0.000 0.500 x16

**Magnetic moment**: 31.12 μB/cell
**Energy relative to the elements**: 0.115 eV per atom

[5]
This record from Alexandria via LeMat-Bulk describes crystalline LiSc6O8 at its relaxed geometry. The functional is PBE.

a = 8.744 Å, b = 8.744 Å, c = 8.744 Å
α = 90.00°, β = 90.00°, γ = 90.00°
Space group Fm-3m (No. 225)
Symmetry-distinct sites (fractional):
Li 0.000 0.000 0.000 x4
Sc 0.000 0.250 0.250 x24
O 0.000 0.000 0.242 x24
O 0.250 0.250 0.250 x8

**Raw formation energy**: -3.111 eV per atom
**Energy above the lowest structure with this stoichiometry**: 0.00 eV/f.u.
**Magnetic moment**: 0.00 μB/cell

Quick rundown of theoretical density, same order as above: 7.58; 6.83; 11.31; 8.05; 4.02 Mg/m³